(1)
Material: GaCoMo4C2
Method: DFT, PBE-GGA
State: optimized geometry

Computed properties:
Total magnetization = 0.35 μB/cell
E = -8.967 eV per atom
Calculated density = 8.6 g cm⁻³

Cell lengths 3.057, 3.057, 12.831 Å; angles 90.00, 90.00, 120.00 degrees
Sites, in units of the cell vectors:
Ga  0.000  0.000  0.000
Co  0.667  0.333  0.500
Mo  0.000  0.000  0.351
Mo  0.000  0.000  0.649
Mo  0.667  0.333  0.169
Mo  0.667  0.333  0.831
C  0.333  0.667  0.259
C  0.333  0.667  0.741



(2)
Material: Nb4GaCoC2
Method: DFT, PBE-GGA
State: optimized geometry

Computed properties:
Total magnetization = 0.61 μB/cell
E = -8.982 eV per atom
Calculated density = 7.7 g cm⁻³

Cell lengths 3.129, 3.129, 13.286 Å; angles 90.00, 90.00, 120.00 degrees
Sites, in units of the cell vectors:
Nb  0.000  0.000  0.146
Nb  0.000  0.000  0.854
Nb  0.333  0.667  0.335
Nb  0.333  0.667  0.665
Ga  0.000  0.000  0.500
Co  0.333  0.667  0.000
C  0.667  0.333  0.240
C  0.667  0.333  0.760



(3)
Material: GaCoW4C2
Method: DFT, PBE-GGA
State: optimized geometry

Computed properties:
Total magnetization = 0.20 μB/cell
E = -9.895 eV per atom
Calculated density = 14.1 g cm⁻³

Cell lengths 3.056, 3.056, 12.912 Å; angles 90.00, 90.00, 120.00 degrees
Sites, in units of the cell vectors:
Ga  0.000  0.000  0.000
Co  0.333  0.667  0.500
W  0.000  0.000  0.351
W  0.000  0.000  0.649
W  0.333  0.667  0.168
W  0.333  0.667  0.832
C  0.667  0.333  0.258
C  0.667  0.333  0.742